# NaMnAs2O8, optimized geometry, DFT GGA+U
data_NaMnAs2O8
_cell_length_a 5.0356
_cell_length_b 5.0356
_cell_length_c 7.1426
_cell_angle_alpha 90.00
_cell_angle_beta 90.00
_cell_angle_gamma 120.00
_space_group_name_H-M_alt 'P -3'
_space_group_IT_number 147
loop_
_space_group_symop_operation_xyz
'x,y,z'
'-x,-y,-z'
'-y,x-y,z'
'y,-x+y,-z'
'-x+y,-x,z'
'x-y,x,-z'
loop_
_atom_site_label
_atom_site_fract_x
_atom_site_fract_y
_atom_site_fract_z
Na1 0.0000 0.0000 0.0000
Mn1 0.0000 0.0000 0.5000
As1 0.3333 0.6667 0.2740
O1 0.0265 0.7106 0.3374
O2 0.3333 0.6667 0.0322
# total moment = 4.0 μB per formula unit
# E_tot = -71.4 eV for the cell shown